Entry 1:
Density functional theory data (PBE-GGA) for a geometry-optimized LaPm4Ho2Er structure.

a b c (Å): 3.628 11.970 6.237
angles (deg): 79.86 90.00 90.00
Sites, in units of the cell vectors:
Pm  0.500  0.248  0.750
Pm  0.000  0.754  0.748
Pm  0.000  0.246  0.252
Pm  0.500  0.752  0.250
Ho  0.000  0.000  0.000
Ho  0.500  0.000  0.500
La  0.500  0.500  0.000
Er  0.000  0.500  0.500

Summary:
Uncorrected energy ... -4.6864 eV per atom
Energy of formation ... 0.0196 eV/atom
Crystal system ... monoclinic



Entry 2:
Density functional theory data (PBE-GGA) for a geometry-optimized Ho4Tm5Sc4 structure.

a b c (Å): 4.852 9.069 9.069
angles (deg): 85.90 74.48 74.48
Sites, in units of the cell vectors:
Sc  0.768  0.387  0.076
Sc  0.232  0.613  0.924
Sc  0.155  0.076  0.613
Sc  0.845  0.924  0.387
Ho  0.381  0.697  0.540
Ho  0.921  0.460  0.697
Ho  0.079  0.540  0.303
Ho  0.619  0.303  0.460
Tm  0.459  0.233  0.850
Tm  0.692  0.850  0.767
Tm  0.000  0.000  0.000
Tm  0.541  0.767  0.150
Tm  0.308  0.150  0.233

Summary:
Uncorrected energy ... -5.0313 eV per atom
Energy of formation ... 0.0453 eV/atom
Crystal system ... tetragonal



Entry 3:
Density functional theory data (PBE-GGA) for a geometry-optimized Zr4OsAu structure.

a b c (Å): 4.605 4.605 6.592
angles (deg): 90.00 90.00 90.00
Sites, in units of the cell vectors:
Os  0.500  0.500  0.500
Zr  0.500  0.000  0.737
Zr  0.000  0.500  0.263
Zr  0.000  0.500  0.737
Zr  0.500  0.000  0.263
Au  0.000  0.000  0.000

Summary:
Uncorrected energy ... -8.2812 eV per atom
Energy of formation ... -0.1646 eV/atom
E above lowest polymorph ... 0.00 kcal/mol of atoms
Crystal system ... tetragonal



Entry 4:
Density functional theory data (PBE-GGA) for a geometry-optimized Sc2Pa2S7 structure.

a b c (Å): 8.916 8.916 8.916
angles (deg): 60.00 60.00 60.00
Site moments in Bohr magnetons follow the coordinates.
Sites, in units of the cell vectors:
S  0.023  0.477  0.477  -0.02
S  0.477  0.477  0.023  -0.02
S  0.477  0.023  0.477  -0.02
S  0.773  0.227  0.773  -0.02
S  0.227  0.227  0.773  -0.02
S  0.773  0.773  0.227  -0.02
S  0.477  0.023  0.023  -0.02
S  0.750  0.750  0.750  -0.04
S  0.227  0.773  0.773  -0.02
S  0.227  0.773  0.227  -0.02
S  0.023  0.023  0.477  -0.02
S  0.500  0.500  0.500  -0.04
S  0.023  0.477  0.023  -0.02
S  0.773  0.227  0.227  -0.02
Pa  0.125  0.625  0.625  0.96
Pa  0.625  0.625  0.625  0.96
Pa  0.625  0.125  0.625  0.96
Pa  0.625  0.625  0.125  0.96
Sc  0.125  0.125  0.625  0.01
Sc  0.125  0.125  0.125  0.01
Sc  0.625  0.125  0.125  0.01
Sc  0.125  0.625  0.125  0.01

Summary:
Uncorrected energy ... -7.1226 eV per atom
E above lowest polymorph ... 1.77 kcal/mol of atoms
E_form (uncorrected) ... -1.62 eV per atom
Crystal system ... cubic



Entry 5:
Density functional theory data (PBE-GGA) for a geometry-optimized HfTi2Cd structure.

a b c (Å): 4.049 4.049 10.424
angles (deg): 78.80 78.80 90.00
Site moments in Bohr magnetons follow the coordinates.
Sites, in units of the cell vectors:
Ti  0.631  0.125  0.250  0.32
Ti  0.119  0.625  0.250  0.33
Ti  0.375  0.369  0.750  0.33
Ti  0.875  0.881  0.750  0.33
Cd  0.500  0.500  0.000  0.00
Cd  0.250  0.750  0.500  0.00
Hf  0.000  0.000  0.000  0.02
Hf  0.750  0.250  0.500  0.02

Summary:
Uncorrected energy ... -6.1782 eV per atom
Energy of formation ... 0.4864 eV/atom
Crystal system ... tetragonal



Entry 6:
Density functional theory data (PBE-GGA) for a geometry-optimized BeAlS2 structure.

a b c (Å): 6.836 6.836 6.836
angles (deg): 29.94 29.94 29.94
Sites, in units of the cell vectors:
S  0.901  0.901  0.901
S  0.099  0.099  0.099
Al  0.500  0.500  0.500
Be  0.000  0.000  0.000

Summary:
Uncorrected energy ... -4.4302 eV per atom
E above lowest polymorph ... 1.73 kcal/mol of atoms
E_form (uncorrected) ... -0.50 eV per atom
Crystal system ... trigonal



Entry 7:
Density functional theory data (PBE-GGA) for a geometry-optimized La2PmGa2Pt7 structure.

a b c (Å): 4.162 4.162 14.304
angles (deg): 84.13 84.13 89.39
Sites, in units of the cell vectors:
Pt  0.447  0.946  0.153
Pt  0.054  0.553  0.847
Pt  0.615  0.615  0.574
Pt  0.385  0.385  0.426
Pt  0.946  0.447  0.153
Pt  0.500  0.500  0.000
Pt  0.553  0.054  0.847
La  0.891  0.891  0.357
La  0.109  0.109  0.643
Pm  0.000  0.000  0.000
Ga  0.587  0.587  0.749
Ga  0.413  0.413  0.251

Summary:
Uncorrected energy ... -6.2337 eV per atom
Energy of formation ... -0.9883 eV/atom
Crystal system ... monoclinic



Entry 8:
Density functional theory data (PBE-GGA) for a geometry-optimized Zn4AgAs structure.

a b c (Å): 5.200 5.200 5.200
angles (deg): 60.00 60.00 60.00
Sites, in units of the cell vectors:
Zn  0.375  0.375  0.874
Zn  0.375  0.375  0.375
Zn  0.874  0.375  0.375
Zn  0.375  0.874  0.375
As  0.000  0.000  0.000
Ag  0.750  0.750  0.750

Summary:
Uncorrected energy ... -1.9537 eV per atom
Energy of formation ... 0.1457 eV/atom
Crystal system ... cubic